[1]
VASP calculation (PBE-GGA) on a relaxed structure of LiHfHgI6.

For the formation energy from raw total energies, the calculation gives -0.760 eV per atom. Its space group is C2 (5). The density of states at the Fermi level is 0.87 states/eV/f.u. As for the magnetic moment: 0.00 μB per formula unit.

a = 7.725 Å, b = 7.725 Å, c = 7.799 Å
α = 97.03°, β = 97.03°, γ = 121.68°
Fractional positions:
Li  0.000  0.000  0.000
Hf  0.382  0.618  0.000
Hg  0.744  0.256  0.500
I  0.023  0.608  0.813
I  0.143  0.381  0.233
I  0.270  0.250  0.772
I  0.392  0.977  0.187
I  0.619  0.857  0.767
I  0.750  0.730  0.228

[2]
VASP calculation (PBE-GGA) on a relaxed structure of SrScAs.

Its space group is P4/nmm (129). The value obtained for the formation energy is -0.90 eV per atom. The density of states at the Fermi level is 2.62 states/eV/f.u. As for the magnetic moment: 0.32 μB per formula unit.

a = 4.315 Å, b = 4.315 Å, c = 9.461 Å
α = 90.00°, β = 90.00°, γ = 90.00°
Fractional positions:
Sr  0.250  0.250  0.178
Sr  0.750  0.750  0.822
Sc  0.250  0.750  0.500
Sc  0.750  0.250  0.500
As  0.250  0.250  0.686
As  0.750  0.750  0.314

[3]
VASP calculation (PBE-GGA) on a relaxed structure of NdZnNiHg.

Its space group is F-43m (216). The value obtained for the formation energy is -0.18 eV per atom. The density of states at the Fermi level is 3.53 states/eV/f.u. As for the magnetic moment: 0.00 μB per formula unit.

a = 4.812 Å, b = 4.812 Å, c = 4.812 Å
α = 60.00°, β = 60.00°, γ = 60.00°
Fractional positions:
Nd  0.000  0.000  0.000
Zn  0.750  0.750  0.750
Ni  0.250  0.250  0.250
Hg  0.500  0.500  0.500

[4]
VASP calculation (PBE-GGA) on a relaxed structure of Li3ScPd7.

Its space group is C2/m (12). The value obtained for the formation energy is -0.42 eV per atom. The density of states at the Fermi level is 3.29 states/eV/f.u. As for the magnetic moment: 0.00 μB per formula unit.

a = 5.921 Å, b = 5.921 Å, c = 5.055 Å
α = 94.14°, β = 94.14°, γ = 86.03°
Fractional positions:
Li  0.000  0.000  0.000
Li  0.187  0.813  0.500
Li  0.813  0.187  0.500
Sc  0.500  0.500  0.000
Pd  0.080  0.417  0.236
Pd  0.228  0.228  0.724
Pd  0.417  0.080  0.236
Pd  0.500  0.500  0.500
Pd  0.583  0.920  0.764
Pd  0.772  0.772  0.276
Pd  0.920  0.583  0.764